Entry 1:
# CsK5O

An optimized crystal structure of CsK5O (GGA-PBE, the Alexandria database).

POSCAR file:
```
CsK5O
1.0
10.2274 5.4045 0.6996
-10.2274 5.4045 0.6996
0.0000 5.0795 7.9353
O K Cs
2 10 2
direct
0.5000 0.0000 0.5000 O
0.0000 0.5000 0.0000 O
0.3240 0.2197 0.0297 K
0.6760 0.7803 0.9703 K
0.3320 0.6680 0.7500 K
0.6680 0.3320 0.2500 K
0.7803 0.6760 0.4703 K
0.5846 0.0914 0.6970 K
0.4154 0.9086 0.3030 K
0.9086 0.4154 0.8030 K
0.2197 0.3240 0.5297 K
0.0914 0.5846 0.1970 K
0.1498 0.8502 0.7500 Cs
0.8502 0.1498 0.2500 Cs
```

Calculated values
Fermi-level density of states: 6.18 states/eV per cell

Entry 2:
# Cs6K2O

An optimized crystal structure of Cs6K2O (GGA-PBE, the Alexandria database).

POSCAR file:
```
Cs6K2O
1.0
8.7579 0.0000 4.2901
3.3282 8.1009 4.2901
0.4572 0.3064 10.1511
K Cs O
2 6 1
direct
0.2293 0.2293 0.3121 K
0.4090 0.4090 0.7731 K
0.3188 0.7349 0.2126 Cs
0.7337 0.3188 0.2126 Cs
0.8853 0.4675 0.7630 Cs
0.4675 0.8842 0.7630 Cs
0.8842 0.8853 0.7630 Cs
0.7349 0.7337 0.2126 Cs
0.6717 0.6717 0.9849 O
```

Calculated values
Fermi-level density of states: 6.18 states/eV per cell

Entry 3:
# Cs3KO4

An optimized crystal structure of Cs3KO4 (GGA-PBE, the Alexandria database).

POSCAR file:
```
Cs3KO4
1.0
4.6799 0.0000 0.0000
0.0000 5.3332 0.0000
-2.3400 -2.6666 7.7585
Cs O K
3 4 1
direct
0.8008 0.8008 0.6017 Cs
0.0000 0.5000 0.0000 Cs
0.1992 0.1992 0.3983 Cs
0.6219 0.7642 0.2437 O
0.6219 0.4795 0.2437 O
0.3781 0.5205 0.7563 O
0.3781 0.2358 0.7563 O
0.5000 0.0000 0.0000 K
```

Calculated calculated volume (Å³ per atom), listed in the same order as above: 57.47; 77.46; 24.21
Calculated M_tot (Bohr magnetons per cell), listed in the same order as above: 0.00; 0.00; 0.00
Calculated uncorrected formation energy (meV/atom), listed in the same order as above: -428; -285; -919